[1]
Zn2InPb2: relaxed, PBEsol.

Output
- Energy above the most stable polymorph in this dataset: 0.00 eV per formula unit
- SG: P4/mbm, No. 127

Cell lengths 4.5534, 7.1500, 7.1500 Å; angles 90.00, 90.00, 90.00 degrees
Closest atoms and distances in Å follow each position.
Sites, in units of the cell vectors:
Pb  0.5000  0.1773  0.6773  6 Zn 3.03-3.16
Pb  0.5000  0.6773  0.8227  6 Zn 3.03-3.16
Pb  0.5000  0.8227  0.3227  6 Zn 3.03-3.16
Pb  0.5000  0.3227  0.1773  6 Zn 3.03-3.16
Zn  0.0000  0.3754  0.8754  1 Zn 2.52
Zn  0.0000  0.8754  0.6246  1 Zn 2.52
Zn  0.0000  0.6246  0.1246  1 Zn 2.52
Zn  0.0000  0.1246  0.3754  1 Zn 2.52
In  0.0000  0.0000  0.0000  4 Zn 2.83
In  0.0000  0.5000  0.5000  4 Zn 2.83

---

[2]
Zn4InPb: relaxed, PBEsol.

Output
- SG: F-43m, No. 216

Cell lengths 5.4164, 5.4164, 5.4164 Å; angles 60.00, 60.00, 60.00 degrees
Closest atoms and distances in Å follow each position.
Sites, in units of the cell vectors:
Pb  0.0000  0.0000  0.0000  12 Zn 3.18, 4 In 3.32
Zn  0.3753  0.3753  0.3753  6 Zn 2.70-2.71
Zn  0.3753  0.3753  0.8742  6 Zn 2.70-2.71
Zn  0.8742  0.3753  0.3753  6 Zn 2.70-2.71
Zn  0.3753  0.8742  0.3753  6 Zn 2.70-2.71
In  0.7500  0.7500  0.7500  12 Zn 3.18, 4 Pb 3.32

---

[3]
Zn2InPb: relaxed, PBEsol.

Output
- Energy above the most stable polymorph in this dataset: 0.07 eV per formula unit
- SG: Cmm2, No. 35

Cell lengths 3.2132, 3.2132, 8.2726 Å; angles 90.00, 90.00, 95.49 degrees
Closest atoms and distances in Å follow each position.
Sites, in units of the cell vectors:
In  0.0000  0.0000  0.5477  4 Zn 2.93-3.09, 4 In 3.21
Pb  0.5000  0.5000  0.2139  4 Zn 3.06-3.22, 4 Pb 3.21
Zn  0.0000  0.0000  0.9521  4 Zn 2.56-2.75
Zn  0.5000  0.5000  0.7863  4 Zn 2.56-2.75

---

[4]
ZnIn2Pb: relaxed, PBEsol.

Output
- SG: P4mm, No. 99

Cell lengths 3.4214, 3.4214, 8.2507 Å; angles 90.00, 90.00, 90.00 degrees
Closest atoms and distances in Å follow each position.
Sites, in units of the cell vectors:
Pb  0.0000  0.0000  0.5333  4 Zn 3.08, 4 Pb 3.42, 4 In 3.44
Zn  0.5000  0.5000  0.7638  4 In 2.94, 4 Pb 3.08
In  0.0000  0.0000  0.9668  4 Zn 2.94, 4 In 3.28
In  0.5000  0.5000  0.2361  8 In 3.28-3.42, 4 Pb 3.44

---

no.,formation enthalpy at 0 K (eV per atom)
1,0.1019
2,0.1033
3,0.1177
4,0.0840